Entry 1:
Material: La5FeAg2
Method: DFT, PBE
State: optimized geometry

a b c (Å): 9.257 12.399 4.183
angles (deg): 90.00 90.00 90.00
Positions (direct):
La  0.000  0.000  0.000
La  0.132  0.306  0.000
La  0.175  0.571  0.500
La  0.325  0.071  0.500
La  0.368  0.806  0.000
La  0.500  0.500  0.000
La  0.632  0.194  0.000
La  0.675  0.929  0.500
La  0.825  0.429  0.500
La  0.868  0.694  0.000
Fe  0.000  0.500  0.000
Fe  0.500  0.000  0.000
Ag  0.085  0.825  0.500
Ag  0.415  0.325  0.500
Ag  0.585  0.675  0.500
Ag  0.915  0.175  0.500

Values from the calculation:
**SG**: Pbam (55)
**Fermi-level density of states**: 20.812 states/eV/cell
**ΔE_f**: -0.118 eV/atom


Entry 2:
Material: CdSiW
Method: DFT, PBE
State: optimized geometry

a b c (Å): 2.925 2.925 6.962
angles (deg): 90.00 90.00 120.00
Positions (direct):
Cd  0.000  0.000  0.000
Si  0.667  0.333  0.355
W  0.333  0.667  0.643

Values from the calculation:
**SG**: P3m1 (156)
**Fermi-level density of states**: 3.919 states/eV/cell
**Energy above the lowest structure with this stoichiometry**: 83 meV/atom
**Formation energy from raw total energies**: 139 kJ/mol of formula units


Entry 3:
Material: Ca2AuS2
Method: DFT, PBE
State: optimized geometry

a b c (Å): 7.746 7.746 3.622
angles (deg): 90.00 90.00 90.00
Positions (direct):
Ca  0.157  0.343  0.000
Ca  0.343  0.843  0.000
Ca  0.657  0.157  0.000
Ca  0.843  0.657  0.000
Au  0.000  0.000  0.500
Au  0.500  0.500  0.500
S  0.153  0.653  0.500
S  0.347  0.153  0.500
S  0.653  0.847  0.500
S  0.847  0.347  0.500

Values from the calculation:
**SG**: P4/mbm (127)
**Fermi-level density of states**: 3.561 states/eV/cell
**Energy above the lowest structure with this stoichiometry**: 0 meV/atom
**Formation energy from raw total energies**: -632 kJ/mol of formula units


Entry 4:
Material: RhC3
Method: DFT, PBE
State: optimized geometry

a b c (Å): 2.923 2.923 4.140
angles (deg): 90.00 90.00 90.00
Positions (direct):
Rh  0.000  0.000  0.000
C  0.000  0.000  0.500
C  0.500  0.500  0.334
C  0.500  0.500  0.666

Values from the calculation:
**SG**: P4/mmm (123)
**Fermi-level density of states**: 2.430 states/eV/cell
**Energy above the lowest structure with this stoichiometry**: 1828 meV/atom
**ΔE_f**: 2.395 eV/atom


Entry 5:
Material: LiLaTe
Method: DFT, PBE
State: optimized geometry

a b c (Å): 4.443 4.443 8.908
angles (deg): 90.00 90.00 120.00
Positions (direct):
Li  0.333  0.667  0.250
Li  0.667  0.333  0.750
La  0.000  0.000  0.000
La  0.000  0.000  0.500
Te  0.333  0.667  0.750
Te  0.667  0.333  0.250

Values from the calculation:
**SG**: P6_3/mmc (194)
**Fermi-level density of states**: 2.081 states/eV/cell
**Energy above the lowest structure with this stoichiometry**: 14 meV/atom
**Formation energy from raw total energies**: -298 kJ/mol of formula units


Entry 6:
Material: Ga2Sn2PtRh2
Method: DFT, PBE
State: optimized geometry

a b c (Å): 4.754 4.754 13.022
angles (deg): 90.00 90.00 90.00
Positions (direct):
Ga  0.000  0.500  0.000
Ga  0.000  0.500  0.500
Ga  0.500  0.000  0.000
Ga  0.500  0.000  0.500
Sn  0.000  0.000  0.202
Sn  0.000  0.000  0.798
Sn  0.500  0.500  0.298
Sn  0.500  0.500  0.702
Pt  0.000  0.000  0.000
Pt  0.500  0.500  0.500
Rh  0.000  0.000  0.398
Rh  0.000  0.000  0.602
Rh  0.500  0.500  0.102
Rh  0.500  0.500  0.898

Values from the calculation:
**SG**: I4/mmm (139)
**Fermi-level density of states**: 4.507 states/eV/cell
**ΔE_f**: -0.106 eV/atom